# Er3CuGeS7 (PBE, relaxed)
data_Er3CuGeS7
_chemical_formula_sum 'Er6 Cu2 Ge2 S14'
_symmetry_space_group_name_H-M 'P 63'
_symmetry_Int_Tables_number 173
_cell_length_a 9.7551
_cell_length_b 9.7551
_cell_length_c 5.8920
_cell_angle_alpha 90.00
_cell_angle_beta 90.00
_cell_angle_gamma 120.00
loop_
_symmetry_equiv_pos_as_xyz
'x,y,z'
'x-y,x,z+1/2'
'-y,x-y,z'
'-x,-y,z+1/2'
'-x+y,-x,z'
'y,-x+y,z+1/2'
loop_
_atom_site_label
_atom_site_type_symbol
_atom_site_fract_x
_atom_site_fract_y
_atom_site_fract_z
Er1 Er 0.1390 0.7805 0.0000
Cu1 Cu 0.0000 0.0000 0.4184
Ge1 Ge 0.3333 0.6667 0.5795
S1 S 0.0956 0.5211 0.7432
S2 S 0.1058 0.8440 0.4448
S3 S 0.3333 0.6667 0.2029
# electronic total energy = -5.69 eV/atom
# ΔE_f (raw) = -1.42 eV/atom
# DOS at the Fermi energy = 0.00 states/eV per cell
# volume = 20.2 Å³/atom